(1)
# PmZn3CuPd

A geometry-optimized PmZn3CuPd structure (PBE, Alexandria via LeMat-Bulk).

```
12
Lattice="-4.7904 1.9132 -2.0750 0.3188 -3.9525 -4.3804 -3.4593 -2.3314 5.8369" Properties=species:S:1:pos:R:3 pbc="T T T"
Pm -5.4749 -1.0219 0.5236
Pm -2.4561 -3.3488 -1.1421
Zn -2.0911 -0.6881 0.4687
Zn 0.0926 -1.1481 -1.2724
Zn -2.1690 -1.8478 -4.1455
Zn -2.3026 -0.1915 -2.3099
Zn 0.2262 -2.8044 -3.1080
Zn -5.8398 -3.6826 -1.0872
Cu -3.8290 -5.1410 0.3751
Cu -4.1019 0.7703 -0.9936
Pd -3.4686 -2.4862 1.9909
Pd -4.4623 -1.8845 -2.6094
```

Calculated values
The formation energy is -0.275 eV/atom.

***

(2)
# CrCd3

A geometry-optimized CrCd3 structure (PBE, Alexandria via LeMat-Bulk).

```
4
Lattice="-0.6871 0.5069 3.0326 -0.1206 -4.1063 0.6590 6.0564 0.0413 1.3654" Properties=species:S:1:pos:R:3 pbc="T T T"
Cd 0.0832 0.0006 0.0188
Cd 2.9450 0.0201 0.6639
Cd 4.1385 -1.7687 2.8698
Cr 1.1103 -1.7894 2.1871
```

Calculated values
The formation energy is 0.261 eV/atom.

***

(3)
# SrMnSeN2

A geometry-optimized SrMnSeN2 structure (PBE, Alexandria via LeMat-Bulk).

```
5
Lattice="3.9784 0.0000 0.0000 0.0000 3.9784 0.0000 0.0000 0.0000 5.0761" Properties=species:S:1:pos:R:3 pbc="T T T"
Sr 1.9892 1.9892 2.5380
Mn 0.0000 0.0000 0.0000
Se 0.0000 0.0000 2.5380
N 0.0000 1.9892 0.0000
N 1.9892 0.0000 0.0000
```

Calculated values
The energy above the lowest structure with this stoichiometry is 0.000 eV/atom. The uncorrected formation energy comes out at 0.004 eV per atom.

***

(4)
# Tb2UP3Ir12

A geometry-optimized Tb2UP3Ir12 structure (PBE, Alexandria via LeMat-Bulk).

```
18
Lattice="-2.8069 2.2795 -6.5361 -6.6485 -2.9820 -1.6432 -5.7049 4.7767 0.6575" Properties=species:S:1:pos:R:3 pbc="T T T"
Tb -9.0172 2.4233 -4.4739
Tb -6.1432 1.6509 -3.0480
U 0.0000 0.0000 0.0000
P -1.4035 1.1398 -3.2681
P -3.3243 -1.4910 -0.8216
P -2.8525 2.3884 0.3287
Ir -8.4222 4.0866 -2.2181
Ir -10.3038 1.2589 -6.7362
Ir -11.6531 2.4216 -3.3871
Ir -6.7932 2.6829 -6.2617
Ir -9.8645 4.8712 -5.6651
Ir -8.9526 -0.2746 -3.5113
Ir -6.7382 -0.0124 -5.3038
Ir -4.8566 2.8153 -0.7857
Ir -3.5073 1.6527 -4.1349
Ir -8.3672 1.3913 -1.2602
Ir -5.2959 -0.7970 -1.8568
Ir -6.2078 4.3489 -4.0106
```

Calculated values
The formation energy is -0.079 eV/atom.

***

(5)
# Ac4SnBi

A geometry-optimized Ac4SnBi structure (PBE, Alexandria via LeMat-Bulk).

```
6
Lattice="5.5900 0.7508 0.4305 2.1244 5.2247 0.4305 1.9307 1.4954 9.4464" Properties=species:S:1:pos:R:3 pbc="T T T"
Ac 5.0677 3.9254 1.6504
Ac 4.5774 3.5455 8.6569
Ac 2.1666 1.6781 6.0633
Ac 7.4784 5.7929 4.2440
Sn 0.0000 0.0000 0.0000
Bi 4.8225 3.7355 5.1537
```

Calculated values
The formation energy is -0.390 eV/atom.

***

(6)
# CrPRu

A geometry-optimized CrPRu structure (PBE, Alexandria via LeMat-Bulk).

```
3
Lattice="3.9235 0.0000 0.0000 1.9618 3.3979 0.0000 1.9618 1.1326 3.2035" Properties=species:S:1:pos:R:3 pbc="T T T"
Cr 3.9235 2.2652 1.6018
P 5.8853 3.3979 2.4027
Ru 0.0000 0.0000 0.0000
```

Calculated values
The formation energy is -0.241 eV/atom.

***

(7)
# Nb2VOs

A geometry-optimized Nb2VOs structure (PBE, Alexandria via LeMat-Bulk).

```
4
Lattice="-1.2150 -2.6232 -1.2832 1.9754 1.0026 -3.9201 3.6579 -2.3073 1.2532" Properties=species:S:1:pos:R:3 pbc="T T T"
Nb 1.8290 -1.1536 0.6266
Nb 0.9877 0.5013 -1.9600
Os 2.2092 -1.9639 -1.9750
V -0.6075 -1.3116 -0.6416
```

Calculated values
The formation energy is -0.242 eV/atom.

***

Number 1: calculated total energy -39.0 eV for the cell shown. Number 2: calculated total energy -11.3 eV for the cell shown. Number 3: calculated total energy -31.0 eV for the cell shown. Number 4: calculated total energy -144.5 eV for the cell shown. Number 5: calculated total energy -26.7 eV for the cell shown. Number 6: calculated total energy -25.0 eV for the cell shown. Number 7: calculated total energy -41.5 eV for the cell shown.